Computed, not measured: a relaxed structure of Ba2TePb at the GGA-PBEsol level of DFT.

- volume (Å³/cell) = 147.8
- symmetry = I-4m2
- magnetization (μB per atom) = 0.000
- theoretical density (Mg/m³) = 6.847
- DOS at the Fermi energy (states/eV per cell) = 3.3
- energy above the lowest structure with this stoichiometry (meV per atom) = 102
- ΔE_f (raw) (eV/f.u.) = -3.333
- total DFT energy (no corrections) (eV per atom) = -3.789

Cell lengths 7.0180, 7.0180, 7.0180 Å; angles 138.92, 138.92, 59.50 degrees
Sites, in units of the cell vectors:
Ba  0.0000  0.0000  0.0000
Ba  0.7500  0.2500  0.5000
Te  0.2500  0.7500  0.5000
Pb  0.5000  0.5000  0.0000

---

Computed, not measured: a relaxed structure of BaTe3Pb at the GGA-PBEsol level of DFT.

- volume (Å³/cell) = 194.6
- symmetry = Pm-3m
- magnetization (μB per atom) = 0.000
- theoretical density (Mg/m³) = 6.207
- DOS at the Fermi energy (states/eV per cell) = 3.6
- ΔE_f (raw) (eV/f.u.) = -2.140
- total DFT energy (no corrections) (eV per atom) = -3.773

Cell lengths 5.7947, 5.7947, 5.7947 Å; angles 90.00, 90.00, 90.00 degrees
Sites, in units of the cell vectors:
Ba  0.0000  0.0000  0.0000
Te  0.0000  0.5000  0.5000
Te  0.5000  0.0000  0.5000
Te  0.5000  0.5000  0.0000
Pb  0.5000  0.5000  0.5000

---

Computed, not measured: a relaxed structure of BaTe2Pb at the GGA-PBEsol level of DFT.

- volume (Å³/cell) = 150.8
- symmetry = R-3m
- magnetization (μB per atom) = 0.000
- theoretical density (Mg/m³) = 6.602
- DOS at the Fermi energy (states/eV per cell) = 0.0
- ΔE_f (raw) (eV/f.u.) = -4.121
- total DFT energy (no corrections) (eV per atom) = -4.330

Cell lengths 8.2451, 8.2451, 8.2451 Å; angles 33.35, 33.35, 33.35 degrees
Sites, in units of the cell vectors:
Ba  0.0000  0.0000  0.0000
Te  0.2438  0.2438  0.2438
Te  0.7562  0.7562  0.7562
Pb  0.5000  0.5000  0.5000

---

Computed, not measured: a relaxed structure of BaTePb at the GGA-PBEsol level of DFT.

- volume (Å³/cell) = 119.6
- symmetry = F-43m
- magnetization (μB per atom) = 0.000
- theoretical density (Mg/m³) = 6.556
- DOS at the Fermi energy (states/eV per cell) = 2.7
- energy above the lowest structure with this stoichiometry (meV per atom) = 291
- ΔE_f (raw) (eV/f.u.) = -1.341
- total DFT energy (no corrections) (eV per atom) = -3.672

Cell lengths 5.5301, 5.5301, 5.5301 Å; angles 60.00, 60.00, 60.00 degrees
Sites, in units of the cell vectors:
Ba  0.0000  0.0000  0.0000
Te  0.5000  0.5000  0.5000
Pb  0.7500  0.7500  0.7500

---

Computed, not measured: a relaxed structure of Ba2TePb at the GGA-PBEsol level of DFT.

- volume (Å³/cell) = 156.3
- symmetry = Cm
- magnetization (μB per atom) = 0.000
- theoretical density (Mg/m³) = 6.476
- DOS at the Fermi energy (states/eV per cell) = 2.1
- energy above the lowest structure with this stoichiometry (meV per atom) = 0
- ΔE_f (raw) (eV/f.u.) = -3.741
- total DFT energy (no corrections) (eV per atom) = -3.891

Cell lengths 6.8180, 6.8180, 5.6353 Å; angles 97.31, 97.31, 37.01 degrees
Sites, in units of the cell vectors:
Ba  0.0000  0.0000  0.0000
Ba  0.2495  0.2495  0.4510
Te  0.7268  0.7268  0.9382
Pb  0.5217  0.5217  0.5190

---

Computed, not measured: a relaxed structure of BaTePb2 at the GGA-PBEsol level of DFT.

- volume (Å³/cell) = 142.7
- symmetry = Cmmm
- magnetization (μB per atom) = 0.000
- theoretical density (Mg/m³) = 7.904
- DOS at the Fermi energy (states/eV per cell) = 1.4
- ΔE_f (raw) (eV/f.u.) = -2.205
- total DFT energy (no corrections) (eV per atom) = -3.969

Cell lengths 4.9001, 4.9001, 5.9634 Å; angles 90.00, 90.00, 94.61 degrees
Sites, in units of the cell vectors:
Ba  0.0000  0.0000  0.0000
Te  0.5000  0.5000  0.0000
Pb  0.2924  0.7076  0.5000
Pb  0.7076  0.2924  0.5000